Entry from Alexandria: a geometry-optimized ScSi2Pd8 structure (PBE).

a = 4.4333 Å, b = 6.5996 Å, c = 6.5996 Å
α = 111.42°, β = 98.58°, γ = 98.58°
Closest atoms and distances in Å follow each position.
Sites, in units of the cell vectors:
Sc  0.5000  0.0000  0.0000  12 Pd 2.67-2.98
Si  0.0000  0.3212  0.6788  8 Pd 2.37-2.52
Si  0.0000  0.6788  0.3212  8 Pd 2.37-2.52
Pd  0.9118  0.9336  0.6765  2 Si 2.46-2.52
Pd  0.9118  0.6765  0.9336  2 Si 2.46-2.52
Pd  0.3139  0.6166  0.6166  2 Si 2.42, 1 Pd 2.69
Pd  0.5000  0.7550  0.2450  2 Si 2.37
Pd  0.5000  0.2450  0.7550  2 Si 2.37
Pd  0.6861  0.3834  0.3834  2 Si 2.42, 1 Pd 2.69
Pd  0.0882  0.3235  0.0664  2 Si 2.46-2.52
Pd  0.0882  0.0664  0.3235  2 Si 2.46-2.52

Calculated values
Uncorrected formation energy, meV per atom: -656